A plane-wave DFT calculation with GGA-PBE was carried out for a relaxed structure of KTaSb2.

abc: 7.5913 7.5913 12.1320
angles: 90.00 90.00 90.00
Closest atoms and distances in Å follow each position.
Space group I-42d (No. 122)
One atom of each set of equivalent atoms:
K: 0.0000 0.0000 0.0000 x4  4 Sb 3.65
Ta: 0.0000 0.0000 0.5000 x4  4 Sb 2.66
Sb: 0.1413 0.2500 0.6250 x8  2 Ta 2.66

uncorrected formation energy = 0.190 eV per atom
magnetic moment = 0.00 μB/f.u.
offset from the most stable computed form = 288 meV per atom
raw total energy = -5.109 eV/atom